# 1
Ti2HgHW: relaxed, PBE.

uncorrected energy = -6.4992 eV per atom

```
Ti2HgHW
1.0
4.308 0.000 0.000
0.000 4.308 0.000
0.000 0.000 3.778
Ti Hg H W
2 1 1 1
Cartesian
0.000 2.154 0.000
2.154 0.000 0.000
0.000 0.000 1.889
2.154 2.154 0.000
2.154 2.154 1.889
```

# 2
SmNpMnC3: relaxed, PBE.

ΔH_f (0 K) = 87 meV per atom

```
SmNpMnC3
1.0
7.239 0.000 0.000
0.000 3.495 0.000
-0.808 0.000 7.318
Sm Np Mn C
2 2 2 6
Cartesian
1.002 0.874 1.355
5.429 2.621 5.963
1.950 2.621 6.022
4.481 0.874 1.296
0.181 0.874 4.317
6.250 2.621 3.001
0.278 0.874 6.153
0.719 2.621 3.809
2.952 2.621 0.932
3.478 0.874 6.386
5.712 0.874 3.509
6.152 2.621 1.165
```

# 3
La5CdHg2: relaxed, PBE.

ΔH_f (0 K) = -283 meV per atom

```
La5CdHg2
1.0
7.944 0.000 0.000
0.000 7.944 0.000
0.000 0.000 7.856
La Cd Hg
10 2 4
Cartesian
0.000 0.000 0.000
1.987 1.987 1.959
1.985 1.985 5.888
1.987 5.956 1.959
1.985 5.959 5.888
3.972 3.972 3.928
5.956 1.987 1.959
5.959 1.985 5.888
5.956 5.956 1.959
5.959 5.959 5.888
0.000 0.000 3.920
3.972 3.972 7.848
0.000 3.972 7.853
0.000 3.972 3.925
3.972 0.000 7.853
3.972 0.000 3.925
```

# 4
Nd3DySe6: relaxed, PBE.

energy relative to the elements, uncorrected = -1.864 eV per atom
E above lowest polymorph = 0.00 eV/f.u.

```
Nd3DySe6
1.0
6.145 3.548 4.861
-6.145 3.548 4.861
0.000 -7.096 4.861
Nd Dy Se
6 2 12
Cartesian
-3.125 -3.000 6.786
-4.161 1.206 7.799
1.036 -4.207 7.799
-1.036 4.207 6.786
4.161 -1.206 6.786
3.125 3.000 7.799
0.000 0.000 0.000
0.000 0.000 7.292
-5.356 -1.492 7.954
-1.386 -5.384 6.630
-2.441 -0.216 5.806
-3.970 3.892 6.630
-1.034 -2.222 8.778
1.408 -2.006 5.806
-1.408 2.006 8.778
1.034 2.222 5.806
3.970 -3.892 7.954
2.441 0.216 8.778
1.386 5.384 7.954
5.356 1.492 6.630
```